UPaAg | PBE | optimized geometry

abc: 4.708 4.708 4.708
angles: 60.00 60.00 60.00
Atoms (fractional coordinates):
1 Ag 0.250 0.250 0.250
2 Pa 0.750 0.750 0.750
3 U 0.000 0.000 0.000

**Excess energy over the best structure of this formula in the dataset**: 0.00 kJ/mol of atoms
**Calculated formation energy**: 224 kJ/mol of formula units
**Total moment**: 1.3526 μB per atom